[1]
! Fe4Tc3, relaxed, DFT GGA-PBE; values from VASP
&SYSTEM
  ibrav = 0, nat = 7, ntyp = 2
/
ATOMIC_SPECIES
Fe 55.84 Fe.upf
Tc 98.00 Tc.upf
ATOMIC_POSITIONS crystal
Fe 0.136 0.272 0.864
Fe 0.427 0.855 0.573
Fe 0.573 0.145 0.427
Fe 0.864 0.728 0.136
Tc 0.000 0.000 0.000
Tc 0.290 0.580 0.710
Tc 0.710 0.420 0.290
CELL_PARAMETERS angstrom
2.916 0.000 0.000
-1.458 10.681 0.001
0.000 0.398 2.889
! Offset from the most stable computed form, meV/atom: 0
! Formation energy from the elements, eV per formula unit: 0.52

=====

[2]
! Dy6Er5Mg, relaxed, DFT GGA-PBE; values from VASP
&SYSTEM
  ibrav = 0, nat = 12, ntyp = 3
/
ATOMIC_SPECIES
Mg 24.30 Mg.upf
Er 167.26 Er.upf
Dy 162.50 Dy.upf
ATOMIC_POSITIONS crystal
Mg 0.000 0.000 0.000
Er 0.500 0.168 0.832
Er 0.000 0.334 0.666
Er 0.500 0.500 0.500
Er 0.000 0.666 0.334
Er 0.500 0.832 0.168
Dy 0.248 0.081 0.416
Dy 0.752 0.584 0.919
Dy 0.750 0.250 0.250
Dy 0.250 0.750 0.750
Dy 0.248 0.416 0.081
Dy 0.752 0.919 0.584
CELL_PARAMETERS angstrom
4.731 -0.003 -1.520
-3.170 8.525 -1.775
0.355 -0.869 9.219
! Formation energy from the elements, eV per formula unit: 0.27

=====

[3]
! BaMgZr, relaxed, DFT GGA-PBE; values from VASP
&SYSTEM
  ibrav = 0, nat = 3, ntyp = 3
/
ATOMIC_SPECIES
Ba 137.33 Ba.upf
Mg 24.30 Mg.upf
Zr 91.22 Zr.upf
ATOMIC_POSITIONS crystal
Ba 0.500 0.500 0.500
Mg 0.750 0.750 0.750
Zr 0.000 0.000 0.000
CELL_PARAMETERS angstrom
-3.837 -0.689 -3.809
0.807 -3.531 -4.074
-2.851 -4.642 -0.188
! Offset from the most stable computed form, meV/atom: 642
! Formation energy from the elements, eV per formula unit: 2.62

=====

[4]
! ScZnRe, relaxed, DFT GGA-PBE; values from VASP
&SYSTEM
  ibrav = 0, nat = 3, ntyp = 3
/
ATOMIC_SPECIES
Re 186.21 Re.upf
Sc 44.96 Sc.upf
Zn 65.41 Zn.upf
ATOMIC_POSITIONS crystal
Re 0.006 0.006 0.000
Sc 0.334 0.334 0.000
Zn 0.659 0.659 0.000
CELL_PARAMETERS angstrom
6.673 0.004 0.000
5.506 3.771 0.000
-6.090 -1.887 1.972
! Offset from the most stable computed form, meV/atom: 54
! Formation energy from the elements, eV per formula unit: 0.29

=====

[5]
! AcSi8Pd2Pt, relaxed, DFT GGA-PBE; values from VASP
&SYSTEM
  ibrav = 0, nat = 12, ntyp = 4
/
ATOMIC_SPECIES
Ac 227.00 Ac.upf
Si 28.09 Si.upf
Pd 106.42 Pd.upf
Pt 195.08 Pt.upf
ATOMIC_POSITIONS crystal
Ac 0.500 0.500 0.500
Si 0.127 0.127 0.620
Si 0.640 0.299 0.185
Si 0.873 0.873 0.380
Si 0.876 0.640 0.185
Si 0.124 0.360 0.815
Si 0.299 0.876 0.185
Si 0.701 0.124 0.815
Si 0.360 0.701 0.815
Pd 0.219 0.219 0.343
Pd 0.781 0.781 0.657
Pt 0.000 0.000 0.000
CELL_PARAMETERS angstrom
-1.804 2.920 3.948
-4.418 -1.357 2.451
2.826 -4.578 8.143
! VASP energy, eV per atom: -5.535

=====

[6]
! CaBi2C2O8, relaxed, DFT GGA-PBE; values from VASP
&SYSTEM
  ibrav = 0, nat = 13, ntyp = 4
/
ATOMIC_SPECIES
Ca 40.08 Ca.upf
Bi 208.98 Bi.upf
C 12.01 C.upf
O 16.00 O.upf
ATOMIC_POSITIONS crystal
Ca 0.500 0.500 0.000
Bi 0.691 0.691 0.000
Bi 0.309 0.309 0.000
C 0.092 0.092 0.000
C 0.908 0.908 0.000
O 0.246 0.746 0.500
O 0.308 0.064 0.244
O 0.849 0.849 0.000
O 0.180 0.936 0.244
O 0.820 0.064 0.756
O 0.692 0.936 0.756
O 0.754 0.254 0.500
O 0.151 0.151 0.000
CELL_PARAMETERS angstrom
4.609 10.382 1.523
-0.565 10.763 3.895
-0.217 -11.438 -0.676
! VASP energy, eV per atom: -6.740

=====

[7]
! TbZrAs2, relaxed, DFT GGA-PBE; values from VASP
&SYSTEM
  ibrav = 0, nat = 4, ntyp = 3
/
ATOMIC_SPECIES
Tb 158.93 Tb.upf
Zr 91.22 Zr.upf
As 74.92 As.upf
ATOMIC_POSITIONS crystal
Tb 0.496 0.496 0.511
Zr 0.670 0.670 0.989
As 0.077 0.077 0.769
As 0.256 0.256 0.231
CELL_PARAMETERS angstrom
-1.803 2.553 -2.366
-2.473 -1.290 -2.755
-6.639 0.877 2.759
! Offset from the most stable computed form, meV/atom: 100
! Formation energy from the elements, eV per formula unit: -4.90

=====

[8]
! Sc2Ni2Ru, relaxed, DFT GGA-PBE; values from VASP
&SYSTEM
  ibrav = 0, nat = 10, ntyp = 3
/
ATOMIC_SPECIES
Sc 44.96 Sc.upf
Ru 101.07 Ru.upf
Ni 58.69 Ni.upf
ATOMIC_POSITIONS crystal
Sc 0.181 0.681 0.500
Sc 0.681 0.819 0.500
Sc 0.819 0.319 0.500
Sc 0.319 0.181 0.500
Ru 0.000 0.000 0.000
Ru 0.500 0.500 0.000
Ni 0.377 0.877 0.000
Ni 0.877 0.623 0.000
Ni 0.623 0.123 0.000
Ni 0.123 0.377 0.000
CELL_PARAMETERS angstrom
6.633 0.000 0.000
0.000 6.633 0.000
0.000 0.000 3.555
! Formation energy from the elements, eV per formula unit: -1.83

=====

[9]
! PAu2O2, relaxed, DFT GGA-PBE; values from VASP
&SYSTEM
  ibrav = 0, nat = 5, ntyp = 3
/
ATOMIC_SPECIES
P 30.97 P.upf
Au 196.97 Au.upf
O 16.00 O.upf
ATOMIC_POSITIONS crystal
P 0.000 0.000 0.000
Au 0.378 0.378 0.245
Au 0.622 0.622 0.755
O 0.750 0.250 0.500
O 0.250 0.750 0.500
CELL_PARAMETERS angstrom
-1.698 -3.133 -0.018
1.893 -1.009 -2.845
4.001 -4.206 1.922
! Offset from the most stable computed form, meV/atom: 52

=====

[10]
! NiAu2N2, relaxed, DFT GGA-PBE; values from VASP
&SYSTEM
  ibrav = 0, nat = 10, ntyp = 3
/
ATOMIC_SPECIES
Ni 58.69 Ni.upf
Au 196.97 Au.upf
N 14.01 N.upf
ATOMIC_POSITIONS crystal
Ni 0.000 0.000 0.000
Ni 0.500 0.500 0.000
Au 0.181 0.681 0.500
Au 0.681 0.819 0.500
Au 0.819 0.319 0.500
Au 0.319 0.181 0.500
N 0.205 0.705 0.000
N 0.705 0.795 0.000
N 0.795 0.295 0.000
N 0.295 0.205 0.000
CELL_PARAMETERS angstrom
5.519 0.000 0.000
0.000 5.519 0.000
0.000 0.000 4.205
! VASP energy, eV per atom: -4.840

=====

[11]
! LaTb12Sm5, relaxed, DFT GGA-PBE; values from VASP
&SYSTEM
  ibrav = 0, nat = 18, ntyp = 3
/
ATOMIC_SPECIES
La 138.91 La.upf
Tb 158.93 Tb.upf
Sm 150.36 Sm.upf
ATOMIC_POSITIONS crystal
La 0.000 0.000 0.000
Tb 0.821 0.000 0.452
Tb 0.179 0.000 0.548
Tb 0.672 0.000 0.952
Tb 0.328 0.000 0.048
Tb 0.347 0.667 0.943
Tb 0.986 0.667 0.057
Tb 0.014 0.333 0.943
Tb 0.653 0.333 0.057
Tb 0.510 0.334 0.557
Tb 0.844 0.666 0.557
Tb 0.156 0.334 0.443
Tb 0.490 0.666 0.443
Sm 0.500 0.000 0.500
Sm 0.167 0.665 0.500
Sm 0.833 0.335 0.500
Sm 0.670 0.659 0.000
Sm 0.330 0.341 0.000
CELL_PARAMETERS angstrom
11.439 0.000 0.005
5.720 8.692 0.003
-0.014 0.000 5.997
! Formation energy from the elements, eV per formula unit: 1.86

=====

[12]
! Tb2Zn2Cu3, relaxed, DFT GGA-PBE; values from VASP
&SYSTEM
  ibrav = 0, nat = 7, ntyp = 3
/
ATOMIC_SPECIES
Tb 158.93 Tb.upf
Zn 65.41 Zn.upf
Cu 63.55 Cu.upf
ATOMIC_POSITIONS crystal
Tb 0.857 0.715 0.239
Tb 0.143 0.285 0.761
Zn 0.851 0.702 0.765
Zn 0.149 0.298 0.235
Cu 0.500 0.000 0.000
Cu 0.603 0.205 0.421
Cu 0.397 0.795 0.579
CELL_PARAMETERS angstrom
4.163 0.000 0.000
-2.082 5.017 0.077
0.000 -2.567 6.018
! Formation energy from the elements, eV per formula unit: -1.80

=====

[13]
! PrZnCuPb, relaxed, DFT GGA-PBE; values from VASP
&SYSTEM
  ibrav = 0, nat = 4, ntyp = 4
/
ATOMIC_SPECIES
Pb 207.20 Pb.upf
Pr 140.91 Pr.upf
Zn 65.41 Zn.upf
Cu 63.55 Cu.upf
ATOMIC_POSITIONS crystal
Pb 0.000 0.000 0.000
Pr 0.500 0.500 0.500
Zn 0.250 0.250 0.250
Cu 0.750 0.750 0.750
CELL_PARAMETERS angstrom
-0.762 -3.280 3.727
0.274 -4.933 -0.901
3.843 -2.675 1.816
! Formation energy from the elements, eV per formula unit: -0.74

=====

[14]
! Pr7Tm12Th, relaxed, DFT GGA-PBE; values from VASP
&SYSTEM
  ibrav = 0, nat = 20, ntyp = 3
/
ATOMIC_SPECIES
Pr 140.91 Pr.upf
Tm 168.93 Tm.upf
Th 232.04 Th.upf
ATOMIC_POSITIONS crystal
Pr 0.836 0.619 0.956
Pr 0.381 0.044 0.164
Pr 0.044 0.164 0.381
Pr 0.500 0.500 0.500
Pr 0.956 0.836 0.619
Pr 0.619 0.956 0.836
Pr 0.164 0.381 0.044
Tm 0.866 0.286 0.744
Tm 0.714 0.256 0.134
Tm 0.616 0.149 0.501
Tm 0.851 0.499 0.384
Tm 0.256 0.134 0.714
Tm 0.499 0.384 0.851
Tm 0.501 0.616 0.149
Tm 0.744 0.866 0.286
Tm 0.149 0.501 0.616
Tm 0.384 0.851 0.499
Tm 0.286 0.744 0.866
Tm 0.134 0.714 0.256
Th 0.000 0.000 0.000
CELL_PARAMETERS angstrom
8.505 1.123 1.686
-1.286 8.482 1.686
-1.286 -1.711 8.477
! Formation energy from the elements, eV per formula unit: 4.65

=====

[15]
! Ca2BeSi3Pt4, relaxed, DFT GGA-PBE; values from VASP
&SYSTEM
  ibrav = 0, nat = 10, ntyp = 4
/
ATOMIC_SPECIES
Ca 40.08 Ca.upf
Be 9.01 Be.upf
Si 28.09 Si.upf
Pt 195.08 Pt.upf
ATOMIC_POSITIONS crystal
Ca 0.500 0.000 0.259
Ca 0.000 0.500 0.741
Be 0.500 0.500 0.500
Si 0.000 0.000 0.500
Si 0.500 0.000 0.865
Si 0.000 0.500 0.135
Pt 0.500 0.500 0.000
Pt 0.000 0.000 0.000
Pt 0.500 0.000 0.623
Pt 0.000 0.500 0.377
CELL_PARAMETERS angstrom
-2.427 0.770 3.305
-1.828 -3.720 -0.476
6.801 -4.103 5.950
! VASP energy, eV per atom: -5.741

=====

[16]
! CsCu2F7, relaxed, DFT GGA-PBE; values from VASP
&SYSTEM
  ibrav = 0, nat = 10, ntyp = 3
/
ATOMIC_SPECIES
Cs 132.91 Cs.upf
Cu 63.55 Cu.upf
F 19.00 F.upf
ATOMIC_POSITIONS crystal
Cs 0.000 0.000 0.000
Cu 0.500 0.654 0.346
Cu 0.500 0.346 0.654
F 0.000 0.667 0.333
F 0.000 0.333 0.667
F 0.500 0.059 0.362
F 0.500 0.941 0.638
F 0.500 0.362 0.059
F 0.500 0.638 0.941
F 0.500 0.500 0.500
CELL_PARAMETERS angstrom
3.824 0.000 0.000
0.000 7.127 -0.781
0.000 -3.845 6.052
! VASP energy, eV per atom: -3.844

=====

[17]
! Sm6Pt2SI3, relaxed, DFT GGA-PBE; values from VASP
&SYSTEM
  ibrav = 0, nat = 12, ntyp = 4
/
ATOMIC_SPECIES
Sm 150.36 Sm.upf
Pt 195.08 Pt.upf
S 32.06 S.upf
I 126.90 I.upf
ATOMIC_POSITIONS crystal
Sm 0.938 0.592 0.813
Sm 0.716 0.716 0.187
Sm 0.062 0.408 0.187
Sm 0.592 0.938 0.813
Sm 0.284 0.284 0.813
Sm 0.408 0.062 0.187
Pt 0.333 0.667 0.000
Pt 0.667 0.333 0.000
S 0.000 0.000 0.000
I 0.163 0.837 0.500
I 0.837 0.163 0.500
I 0.500 0.500 0.500
CELL_PARAMETERS angstrom
-3.728 4.242 4.774
-3.413 -2.634 -6.008
0.251 -6.838 4.368
! VASP energy, eV per atom: -5.300

=====

[18]
! Cu3RuO, relaxed, DFT GGA-PBE; values from VASP
&SYSTEM
  ibrav = 0, nat = 5, ntyp = 3
/
ATOMIC_SPECIES
Ru 101.07 Ru.upf
O 16.00 O.upf
Cu 63.55 Cu.upf
ATOMIC_POSITIONS crystal
Ru 0.500 0.500 0.500
O 0.000 0.000 0.000
Cu 0.000 0.500 0.000
Cu 0.000 0.000 0.500
Cu 0.500 0.000 0.000
CELL_PARAMETERS angstrom
3.940 0.000 0.000
0.000 3.940 0.000
0.000 0.000 3.940
! Offset from the most stable computed form, meV/atom: 0

=====

[19]
! Th2PaSn, relaxed, DFT GGA-PBE; values from VASP
&SYSTEM
  ibrav = 0, nat = 4, ntyp = 3
/
ATOMIC_SPECIES
Pa 231.04 Pa.upf
Sn 118.71 Sn.upf
Th 232.04 Th.upf
ATOMIC_POSITIONS crystal
Pa 0.000 0.000 0.000
Sn 0.500 0.500 0.500
Th 0.250 0.250 0.250
Th 0.750 0.750 0.750
CELL_PARAMETERS angstrom
5.451 0.000 0.000
2.726 4.721 0.000
2.726 1.574 4.451
! Offset from the most stable computed form, meV/atom: 237
! Formation energy from the elements, eV per formula unit: 0.16

=====

[20]
! PrThHgRu, relaxed, DFT GGA-PBE; values from VASP
&SYSTEM
  ibrav = 0, nat = 4, ntyp = 4
/
ATOMIC_SPECIES
Pr 140.91 Pr.upf
Th 232.04 Th.upf
Hg 200.59 Hg.upf
Ru 101.07 Ru.upf
ATOMIC_POSITIONS crystal
Pr 0.500 0.148 0.663
Th 0.098 0.947 0.060
Hg 0.967 0.382 0.363
Ru 0.313 0.554 0.884
CELL_PARAMETERS angstrom
-2.897 -2.776 0.940
3.901 -1.202 -0.547
2.037 3.351 7.162
! Offset from the most stable computed form, meV/atom: 0
! Formation energy from the elements, eV per formula unit: -1.39

=====

[21]
! KFe2Hg, relaxed, DFT GGA-PBE; values from VASP
&SYSTEM
  ibrav = 0, nat = 4, ntyp = 3
/
ATOMIC_SPECIES
Fe 55.84 Fe.upf
Hg 200.59 Hg.upf
K 39.10 K.upf
ATOMIC_POSITIONS crystal
Fe 0.941 0.941 0.000
Fe 0.775 0.275 0.500
Hg 0.543 0.543 0.000
K 0.241 0.741 0.500
CELL_PARAMETERS angstrom
6.175 0.005 0.003
2.912 5.446 -0.003
-3.595 -4.307 2.581
! Formation energy from the elements, eV per formula unit: 2.79

=====

[22]
! Co2SiTe, relaxed, DFT GGA-PBE; values from VASP
&SYSTEM
  ibrav = 0, nat = 4, ntyp = 3
/
ATOMIC_SPECIES
Co 58.93 Co.upf
Si 28.09 Si.upf
Te 127.60 Te.upf
ATOMIC_POSITIONS crystal
Co 0.007 0.007 0.963
Co 0.765 0.765 0.626
Si 0.464 0.464 0.683
Te 0.265 0.265 0.228
CELL_PARAMETERS angstrom
4.101 0.013 -0.008
2.738 3.053 -0.008
0.866 0.388 4.970
! Offset from the most stable computed form, meV/atom: 45

=====

[23]
! KPuUCl6, relaxed, DFT GGA-PBE; values from VASP
&SYSTEM
  ibrav = 0, nat = 18, ntyp = 4
/
ATOMIC_SPECIES
K 39.10 K.upf
Pu 244.00 Pu.upf
U 238.03 U.upf
Cl 35.45 Cl.upf
ATOMIC_POSITIONS crystal
K 0.000 0.000 0.000
K 0.000 0.000 0.500
Pu 0.333 0.667 0.250
Pu 0.667 0.333 0.750
U 0.667 0.333 0.250
U 0.333 0.667 0.750
Cl 0.638 0.004 0.136
Cl 0.366 0.362 0.136
Cl 0.362 0.366 0.636
Cl 0.634 0.638 0.864
Cl 0.996 0.362 0.364
Cl 0.366 0.004 0.364
Cl 0.004 0.366 0.864
Cl 0.638 0.634 0.364
Cl 0.634 0.996 0.636
Cl 0.996 0.634 0.136
Cl 0.004 0.638 0.636
Cl 0.362 0.996 0.864
CELL_PARAMETERS angstrom
7.192 0.000 0.000
-3.596 6.229 0.000
0.000 0.000 13.896
! VASP energy, eV per atom: -5.987